A plane-wave DFT calculation with PBE-GGA was carried out for a relaxed structure of TaMnCd2.

For the formation energy, the calculation gives 1025 meV/atom. As for the total energy: -4.688 eV/atom. The polymorph energy (0 for the lowest one) comes out at 833 meV/atom. For the density, the calculation gives 10.15 g/cm3.

The space group is I-42d (No. 122) and the conventional cell measures 7.575, 7.575 and 5.253 Å, with angles of 90.00, 90.00 and 90.00 degrees. The distinct sites, in fractional coordinates, are Ta at (0.000, 0.000, 0.000), Mn at (0.000, 0.000, 0.500) and Cd at (0.221, 0.250, 0.625).